(1)
## Ba2NiI6 (PBE-GGA)

Data for a relaxed Ba2NiI6 crystal.

Results
Size of the total moment (μB per formula unit): 1.9
E above lowest polymorph (eV per atom): 0.095
Uncorrected formation energy (eV per atom): -1.09
Calculated volume (Å³/atom): 46.70

abc: 7.5872 7.5872 14.6040
angles: 90.00 90.00 90.00
Last column: nearest neighbours and their distance in Å.
Fractional positions:
Ba 0.0000 0.0000 0.3347  6 I 3.47
Ba 0.5000 0.5000 0.8347  6 I 3.47
Ba 0.5000 0.5000 0.1653  6 I 3.47
Ba 0.0000 0.0000 0.6653  6 I 3.47
Ni 0.0000 0.0000 0.0000  6 I 2.77-2.87
Ni 0.5000 0.5000 0.5000  6 I 2.77-2.87
I 0.3214 0.3214 0.3632  1 Ni 2.77
I 0.6786 0.6786 0.3632  1 Ni 2.77
I 0.1786 0.8214 0.8632  1 Ni 2.77
I 0.8214 0.1786 0.8632  1 Ni 2.77
I 0.1786 0.8214 0.1368  1 Ni 2.77
I 0.8214 0.1786 0.1368  1 Ni 2.77
I 0.3214 0.3214 0.6368  1 Ni 2.77
I 0.6786 0.6786 0.6368  1 Ni 2.77
I 0.2671 0.2671 0.0000  1 Ni 2.87
I 0.7329 0.7329 0.0000  1 Ni 2.87
I 0.2329 0.7671 0.5000  1 Ni 2.87
I 0.7671 0.2329 0.5000  1 Ni 2.87

---

(2)
## BaNiI2 (PBE-GGA)

Data for a relaxed BaNiI2 crystal.

Results
Size of the total moment (μB per formula unit): 0.2
E above lowest polymorph (eV per atom): 0.375
Uncorrected formation energy (eV per atom): -0.35
Calculated volume (Å³/atom): 33.67

abc: 5.7535 5.7535 5.7535
angles: 60.00 60.00 60.00
Last column: nearest neighbours and their distance in Å.
Fractional positions:
I 0.2500 0.2500 0.2500  4 Ba 3.52, 4 Ni 3.52
I 0.7500 0.7500 0.7500  4 Ba 3.52, 4 Ni 3.52
Ni 0.0000 0.0000 0.0000  8 I 3.52
Ba 0.5000 0.5000 0.5000  8 I 3.52

---

Question: Which value of size of the total moment does entry 1 give?
Answer: 1.9 μB per formula unit